Crystalline TbCo2B2 at its relaxed geometry, computed with PBEsol.

E_tot (eV/cell): -75.27
Mass density (g cm⁻³): 8.649
Calculated formation energy (eV per atom): -0.623

Cell lengths 3.5118, 3.5118, 9.2915 Å; angles 90.00, 90.00, 90.00 degrees
Space group I4/mmm (No. 139)
Unique sites:
Tb: 0.0000 0.0000 0.0000 [2 per cell]
Co: 0.0000 0.5000 0.2500 [4 per cell]
B: 0.0000 0.0000 0.3496 [4 per cell]